Here is a relaxed ErTaFe2O6 crystal from the Alexandria database. Energies are from PBE with a Hubbard U.

VASP energy   -7.865 eV per atom

abc: 5.305 5.315 5.718
angles: 62.48 62.59 59.94
Atoms (fractional coordinates):
Ta 0.314 0.316 0.052
O 0.594 0.235 0.235
Fe 0.017 0.016 0.953
O 0.709 0.134 0.761
O 0.396 0.709 0.760
Fe 0.517 0.515 0.451
O 0.136 0.396 0.758
O 0.234 0.937 0.237
O 0.936 0.592 0.237
Er 0.808 0.811 0.571